Material: BaAcAg2
Method: DFT, GGA-PBE
State: relaxed

The structure belongs to space group R-3m (No. 166, hexagonal axes); the cell edges are 4.7185, 4.7185 and 23.5165 Å and the angles 90.00°, 90.00° and 120.00°. The inequivalent atoms are Ba at (0.0000, 0.0000, 0.0000), Ac at (0.0000, 0.0000, 0.5000) and Ag at (0.0000, 0.0000, 0.2434).

Its excess energy over the best structure of this formula in the dataset is 0.109 eV/atom. The formation energy is -133 meV/atom. Its density of states at the Fermi level is 0.59 states/eV per atom.

Material: BaAc2Ag2
Method: DFT, GGA-PBE
State: relaxed

The structure belongs to space group P2_1/m (No. 11); the cell edges are 5.784, 5.316 and 12.528 Å and the angles 90.00°, 96.01° and 90.00°. The inequivalent atoms are Ba at (0.198, 0.250, 0.238), Ac at (0.248, 0.750, 0.495), Ac at (0.338, 0.250, 0.889), Ag at (0.138, 0.750, 0.006) and Ag at (0.281, 0.250, 0.635).

The formation energy is -134 meV/atom. Its density of states at the Fermi level is 0.90 states/eV per atom.

One value per record, in order, for magnetization: 0.00 0.00 μB per formula unit.
One value per record, in order, for E: -3.067 -3.302 eV per atom.